Record 1
The following is a PBE calculation of crystalline ErHgBi2 at its relaxed geometry, from the Alexandria database.

Results
ΔH_f (0 K) in meV per atom: -342
Energy in eV/f.u.: -13.995

Unit cell a=4.222 b=4.222 c=6.574 alpha=90.00 beta=90.00 gamma=90.00
Positions (direct):
Er (0.500, 0.500, 0.000)
Bi (0.000, 0.000, 0.767)
Bi (0.000, 0.000, 0.233)
Hg (0.500, 0.500, 0.500)



Record 2
The following is a PBE calculation of crystalline BaPmHo at its relaxed geometry, from the Alexandria database.

Results
ΔH_f (0 K) in meV per atom: 181
Energy in eV/f.u.: -10.707

Unit cell a=3.789 b=3.789 c=9.424 alpha=90.00 beta=90.00 gamma=120.00
Positions (direct):
Ba (0.000, 0.000, 0.004)
Ho (0.667, 0.333, 0.353)
Pm (0.333, 0.667, 0.643)